# HfCuPtRh

Crystalline HfCuPtRh at its relaxed geometry (PBE, Alexandria).

Unit cell a=4.4539 b=4.4539 c=4.4539 alpha=60.00 beta=60.00 gamma=60.00
Atoms (fractional coordinates):
Pt  0.5000  0.5000  0.5000
Cu  0.7500  0.7500  0.7500
Hf  0.2500  0.2500  0.2500
Rh  0.0000  0.0000  0.0000

Results
Its relative energy among the computed polymorphs is 97 meV/atom. As for the energy relative to the elements: -0.723 eV/atom. For the raw total energy, the calculation gives -7.583 eV per atom. Its space group is F-43m. The density of states at the Fermi level comes out at 0.57 states/eV per atom.